Record 1
{"formula": "TaSe2SN", "functional": "PBE", "state": "relaxed", "raw_formation_energy_ev_per_atom": 0.369, "cell": [[5.128, 0.000, 0.000], [0.000, 5.128, 0.000], [0.000, 0.000, 3.898]], "species": ["Ta", "Se", "Se", "S", "N"], "fractional_positions": [[0.000, 0.000, 0.000], [0.000, 0.500, 0.000], [0.500, 0.000, 0.000], [0.500, 0.500, 0.500], [0.000, 0.000, 0.500]]}



Record 2
{"formula": "Y3Pu2PaP6", "functional": "PBE", "state": "relaxed", "ef_mev_per_atom": -1431, "cell": [[3.468, -6.007, 0.000], [3.468, 6.007, 0.000], [-2.313, 0.000, 6.516]], "species": ["Y", "Y", "Y", "Pu", "Pu", "Pa", "P", "P", "P", "P", "P", "P"], "fractional_positions": [[0.000, 0.000, 0.000], [0.332, 0.668, 0.000], [0.668, 0.332, 0.000], [0.166, 0.834, 0.500], [0.834, 0.166, 0.500], [0.500, 0.500, 0.500], [0.088, 0.418, 0.255], [0.251, 0.251, 0.745], [0.418, 0.088, 0.255], [0.582, 0.912, 0.745], [0.749, 0.749, 0.255], [0.912, 0.582, 0.745]]}



Record 3
{"formula": "LaCrAu2", "functional": "PBE", "state": "relaxed", "ef_mev_per_atom": -144, "cell": [[3.775, 0.000, 0.000], [0.000, 3.775, 0.000], [0.000, 0.000, 6.418]], "species": ["La", "Cr", "Au", "Au"], "fractional_positions": [[0.000, 0.000, 0.000], [0.500, 0.500, 0.664], [0.000, 0.000, 0.520], [0.500, 0.500, 0.244]]}



Record 4
{"formula": "Hf3Ti2Cu3", "functional": "PBE", "state": "relaxed", "ef_mev_per_atom": -73, "cell": [[-1.554, 2.317, 9.493], [1.554, -2.317, 9.493], [1.554, 2.317, -9.493]], "species": ["Hf", "Hf", "Hf", "Ti", "Ti", "Cu", "Cu", "Cu"], "fractional_positions": [[0.000, 0.000, 0.000], [0.373, 0.873, 0.500], [0.627, 0.127, 0.500], [0.239, 0.239, 0.000], [0.761, 0.761, 0.000], [0.124, 0.624, 0.500], [0.500, 0.500, 0.000], [0.876, 0.376, 0.500]]}



| no. | DFT total energy (eV/atom) |
| --- | --- |
| 1 | -5.89 |
| 2 | -8.93 |
| 3 | -5.42 |
| 4 | -7.32 |